# VAsNO2 PBE with a Hubbard U relaxed
data_VAsNO2
_cell_length_a 3.7059
_cell_length_b 3.7059
_cell_length_c 4.0752
_cell_angle_alpha 90.00
_cell_angle_beta 90.00
_cell_angle_gamma 90.00
_space_group_name_H-M_alt 'P 4/m m m'
_space_group_IT_number 123
_space_group_name_Hall '-P 4 2'
loop_
_atom_site_label
_atom_site_type_symbol
_atom_site_fract_x
_atom_site_fract_y
_atom_site_fract_z
_atom_site_occupancy
V1 V 0.0000 0.0000 0.0000 1
As1 As 0.5000 0.5000 0.5000 1
N1 N 0.0000 0.0000 0.5000 1
O1 O 0.0000 0.5000 0.0000 1
# - Size of the total moment: 0.00 Bohr magnetons per cell
# - Total energy: -6.333 eV per atom
# - ρ: 5.1 g/cm³